First-principles (GGA-PBE) data for a relaxed Y2LuCo crystal, as listed in Alexandria.

Cell and atoms, written as POSCAR:
```
Y2LuCo
1.0
3.426 0.000 0.000
0.000 3.426 0.000
0.000 0.000 8.647
Y Lu Co
2 1 1
direct
0.000 0.000 0.189
0.000 0.000 0.811
0.500 0.500 0.500
0.500 0.500 0.000
```

* calculated density: 6.74 g cm⁻³
* ΔE_f: -20 meV/atom
* excess energy over the best structure of this formula in the dataset: 0.0 meV/atom
* D(E_F): 4.78 states/eV per cell